Computed, not measured: a geometry-optimized TiFeMo2 structure at the PBE level of DFT.

```
TiFeMo2
1.0
-3.5265 3.5265 2.5097
3.5265 -3.5265 2.5097
3.5265 3.5265 -2.5097
Ti Fe Mo
2 2 4
Direct
0.0000 0.0000 0.0000 Ti
0.7500 0.2500 0.5000 Ti
0.2500 0.7500 0.5000 Fe
0.5000 0.5000 0.0000 Fe
0.1612 0.6250 0.0362 Mo
0.3750 0.4112 0.5362 Mo
0.5888 0.1250 0.9638 Mo
0.8750 0.8388 0.4638 Mo
```

- formation enthalpy at 0 K (meV/atom) = 455
- crystal system = tetragonal
- energy above the most stable polymorph in this dataset (meV/atom) = 361
- M_tot (μB/f.u.) = 0.00
- N(E_F) (states/eV/cell) = 12.03

---

Computed, not measured: a geometry-optimized Ho2SiS6 structure at the PBE level of DFT.

```
Ho2SiS6
1.0
5.9833 0.0000 0.0000
0.0000 5.9833 0.0000
0.0000 0.0000 11.7048
Ho Si S
4 2 12
Direct
0.0000 0.0000 0.1674 Ho
0.0000 0.0000 0.8326 Ho
0.5000 0.5000 0.3326 Ho
0.5000 0.5000 0.6674 Ho
0.0000 0.0000 0.5000 Si
0.5000 0.5000 0.0000 Si
0.1834 0.1834 0.3567 S
0.1834 0.1834 0.6433 S
0.2270 0.2270 0.0000 S
0.2730 0.7270 0.5000 S
0.3166 0.6834 0.1433 S
0.3166 0.6834 0.8567 S
0.6834 0.3166 0.1433 S
0.6834 0.3166 0.8567 S
0.7270 0.2730 0.5000 S
0.7730 0.7730 0.0000 S
0.8166 0.8166 0.3567 S
0.8166 0.8166 0.6433 S
```

- crystal system = tetragonal
- formation energy (no corrections) (eV/atom) = -0.99
- M_tot (μB/f.u.) = 0.00
- N(E_F) (states/eV/cell) = 12.20

---

Computed, not measured: a geometry-optimized Ho3CuRu structure at the PBE level of DFT.

```
Ho3CuRu
1.0
4.0676 0.0000 0.0000
0.0000 8.8497 0.0000
0.0000 0.0000 6.4930
Ho Cu Ru
6 2 2
Direct
0.2500 0.0586 0.2163 Ho
0.2500 0.2500 0.7297 Ho
0.2500 0.4414 0.2163 Ho
0.7500 0.5586 0.7837 Ho
0.7500 0.7500 0.2703 Ho
0.7500 0.9414 0.7837 Ho
0.2500 0.7500 0.5751 Cu
0.7500 0.2500 0.4249 Cu
0.2500 0.7500 0.9787 Ru
0.7500 0.2500 0.0213 Ru
```

- formation enthalpy at 0 K (meV/atom) = -277
- crystal system = orthorhombic
- energy above the most stable polymorph in this dataset (meV/atom) = 20
- M_tot (μB/f.u.) = 0.00
- N(E_F) (states/eV/cell) = 8.81

---

Computed, not measured: a geometry-optimized NdSm6Tm3 structure at the PBE level of DFT.

```
NdSm6Tm3
1.0
4.8707 -10.6115 0.0000
4.8707 10.6115 0.0000
0.0000 0.0000 6.4304
Nd Sm Tm
2 12 6
Direct
0.1590 0.8410 0.5000 Nd
0.8410 0.1590 0.0000 Nd
0.0152 0.9848 0.2936 Sm
0.1066 0.5444 0.8212 Sm
0.2628 0.3796 0.0703 Sm
0.3012 0.6988 0.2897 Sm
0.3796 0.2628 0.5703 Sm
0.4556 0.8934 0.8212 Sm
0.5444 0.1066 0.3212 Sm
0.6204 0.7372 0.0703 Sm
0.6988 0.3012 0.7897 Sm
0.7372 0.6204 0.5703 Sm
0.8934 0.4556 0.3212 Sm
0.9848 0.0152 0.7936 Sm
0.0431 0.2951 0.4794 Tm
0.2951 0.0431 0.9794 Tm
0.4182 0.5818 0.5917 Tm
0.5818 0.4182 0.0917 Tm
0.7049 0.9569 0.4794 Tm
0.9569 0.7049 0.9794 Tm
```

- formation enthalpy at 0 K (meV/atom) = 128
- crystal system = orthorhombic
- energy above the most stable polymorph in this dataset (meV/atom) = 0
- M_tot (μB/f.u.) = 0.00
- N(E_F) (states/eV/cell) = 29.28

---

Computed, not measured: a geometry-optimized Ac8CuPt4 structure at the PBE level of DFT.

```
Ac8CuPt4
1.0
10.8161 -2.2417 0.0000
10.8161 2.2417 0.0000
-9.5683 0.0000 11.0303
Ac Cu Pt
8 1 4
Direct
0.0000 0.0000 0.0000 Ac
0.0294 0.0294 0.7479 Ac
0.0734 0.0734 0.4821 Ac
0.3196 0.3196 0.6703 Ac
0.3997 0.3997 0.1383 Ac
0.6482 0.6482 0.3297 Ac
0.6922 0.6922 0.0679 Ac
0.7325 0.7325 0.8216 Ac
0.1901 0.1901 0.2220 Cu
0.0210 0.0210 0.2335 Pt
0.2133 0.2133 0.9435 Pt
0.5063 0.5063 0.8614 Pt
0.6971 0.6971 0.5806 Pt
```

- formation enthalpy at 0 K (meV/atom) = -664
- crystal system = monoclinic
- M_tot (μB/f.u.) = 0.00
- N(E_F) (states/eV/cell) = 9.69

---

Computed, not measured: a geometry-optimized SrSmEr2 structure at the PBE level of DFT.

```
SrSmEr2
1.0
1.8339 1.0588 12.1008
-1.8339 1.0588 12.1008
0.0000 -2.1176 12.1008
Sr Sm Er
1 1 2
Direct
0.0000 0.0000 0.0000 Sr
0.1657 0.1657 0.1657 Sm
0.5770 0.5770 0.5770 Er
0.7554 0.7554 0.7554 Er
```

- formation enthalpy at 0 K (meV/atom) = 133
- crystal system = trigonal
- energy above the most stable polymorph in this dataset (meV/atom) = 0
- M_tot (μB/f.u.) = 0.00
- N(E_F) (states/eV/cell) = 5.49

---

Computed, not measured: a geometry-optimized ScTcSnO6 structure at the PBE level of DFT.

```
ScTcSnO6
1.0
5.2069 0.0000 0.0000
-2.6034 4.5093 0.0000
0.0000 0.0000 9.0726
Sc Tc Sn O
2 2 2 12
Direct
0.3333 0.6667 0.2500 Sc
0.6667 0.3333 0.7500 Sc
0.3333 0.6667 0.7500 Tc
0.6667 0.3333 0.2500 Tc
0.0000 0.0000 0.0000 Sn
0.0000 0.0000 0.5000 Sn
0.0184 0.3486 0.6289 O
0.0184 0.6698 0.8711 O
0.3302 0.3486 0.8711 O
0.3302 0.9816 0.6289 O
0.3486 0.0184 0.1289 O
0.3486 0.3302 0.3711 O
0.6514 0.6698 0.6289 O
0.6514 0.9816 0.8711 O
0.6698 0.0184 0.3711 O
0.6698 0.6514 0.1289 O
0.9816 0.3302 0.1289 O
0.9816 0.6514 0.3711 O
```

- crystal system = trigonal
- formation energy (no corrections) (eV/atom) = -1.95
- M_tot (μB/f.u.) = 2.01
- N(E_F) (states/eV/cell) = 7.47

---

Computed, not measured: a geometry-optimized KNpSn2 structure at the PBE level of DFT.

```
KNpSn2
1.0
3.2663 0.0000 0.0000
0.0000 3.2663 0.0000
0.0000 0.0000 10.5434
K Np Sn
1 1 2
Direct
0.0000 0.0000 0.0000 K
0.0000 0.0000 0.5000 Np
0.5000 0.5000 0.2694 Sn
0.5000 0.5000 0.7306 Sn
```

- formation enthalpy at 0 K (meV/atom) = -54
- crystal system = tetragonal
- M_tot (μB/f.u.) = 4.78
- N(E_F) (states/eV/cell) = 6.73

---

Computed, not measured: a geometry-optimized BaSb2RhO structure at the PBE level of DFT.

```
BaSb2RhO
1.0
4.8776 0.0000 0.0000
0.0000 4.8776 0.0000
0.0000 0.0000 6.7020
Ba Sb Rh O
1 2 1 1
Direct
0.0000 0.0000 0.0000 Ba
0.0000 0.5000 0.5000 Sb
0.5000 0.0000 0.5000 Sb
0.0000 0.0000 0.5000 Rh
0.5000 0.5000 0.0000 O
```

- crystal system = tetragonal
- formation energy (no corrections) (eV/atom) = -0.18
- M_tot (μB/f.u.) = 0.00
- N(E_F) (states/eV/cell) = 5.65

---

Computed, not measured: a geometry-optimized LaYPd2 structure at the PBE level of DFT.

```
LaYPd2
1.0
4.6374 0.0000 0.0000
0.0000 1.9302 5.4108
0.0000 -1.9302 5.4108
La Y Pd
1 1 2
Direct
0.0000 0.0000 0.0000 La
0.5000 0.2726 0.2726 Y
0.0000 0.7261 0.7261 Pd
0.5000 0.5530 0.5530 Pd
```

- formation enthalpy at 0 K (meV/atom) = -860
- crystal system = orthorhombic
- energy above the most stable polymorph in this dataset (meV/atom) = 0
- M_tot (μB/f.u.) = 0.00
- N(E_F) (states/eV/cell) = 2.64

---

Computed, not measured: a geometry-optimized Tb2ScPd structure at the PBE level of DFT.

```
Tb2ScPd
1.0
1.7419 1.0057 10.4406
-1.7419 1.0057 10.4406
0.0000 -2.0114 10.4406
Tb Sc Pd
2 1 1
Direct
0.1018 0.1018 0.1018 Tb
0.8982 0.8982 0.8982 Tb
0.0000 0.0000 0.0000 Sc
0.5000 0.5000 0.5000 Pd
```

- formation enthalpy at 0 K (meV/atom) = -28
- crystal system = trigonal
- energy above the most stable polymorph in this dataset (meV/atom) = 366
- M_tot (μB/f.u.) = 0.42
- N(E_F) (states/eV/cell) = 4.73

---

Computed, not measured: a geometry-optimized LiThAgSb structure at the PBE level of DFT.

```
LiThAgSb
1.0
0.0000 3.6573 3.6573
3.6573 0.0000 3.6573
3.6573 3.6573 0.0000
Li Th Ag Sb
1 1 1 1
Direct
0.0000 0.0000 0.0000 Li
0.5000 0.5000 0.5000 Th
0.2500 0.2500 0.2500 Ag
0.7500 0.7500 0.7500 Sb
```

- crystal system = cubic
- formation energy (no corrections) (eV/atom) = -0.35
- M_tot (μB/f.u.) = 0.00
- N(E_F) (states/eV/cell) = 3.08